A plane-wave DFT calculation with PBE was carried out for crystalline KCa2AlH8 at its relaxed geometry.

Computed properties:
**VASP energy**: -38.970 eV per formula unit

POSCAR file:
```
KCa2AlH8
1.0
4.0697 -0.5250 0.0040
-0.5323 4.9389 -0.0023
-0.0028 0.0012 7.3678
K Ca Al H
1 2 1 8
Cartesian
-0.0014 0.0006 3.6839
1.7637 2.2093 5.6143
1.7710 2.2057 1.7551
0.0000 0.0000 0.0000
-0.0948 3.7825 1.3019
2.0295 3.5927 0.0010
3.6314 0.6288 1.3099
3.6294 0.6326 6.0676
1.5051 0.8223 7.3685
-0.0968 3.7862 6.0596
1.2012 3.1972 3.6822
2.3334 1.2178 3.6872
```

=====

A plane-wave DFT calculation with PBE was carried out for crystalline BeZn2AgPd at its relaxed geometry.

Computed properties:
**Formation energy from the elements**: 1.6 eV per formula unit

POSCAR file:
```
BeZn2AgPd
1.0
-3.8033 -2.8947 0.0282
1.9525 -2.5385 2.7426
-1.8659 2.4869 3.6302
Be Zn Pd Ag
1 2 1 1
Cartesian
0.9762 -1.2693 1.3713
-0.9329 1.2435 1.8151
-1.9016 -1.4474 0.0141
0.0000 0.0000 0.0000
-1.8583 -1.4732 3.2005
```

=====

A plane-wave DFT calculation with PBE was carried out for crystalline Pu2H2S at its relaxed geometry.

Computed properties:
**VASP energy**: -41.445 eV per formula unit

POSCAR file:
```
Pu2H2S
1.0
-1.9583 3.3697 -0.7499
-1.1087 -3.7105 -0.8689
-1.0603 -0.2249 5.8116
Pu H S
2 2 1
Cartesian
-2.4640 -0.3122 0.9869
-1.6633 -0.2535 3.2059
-1.8512 -2.0530 2.0667
-2.2761 1.4873 2.1261
0.0000 0.0000 0.0000
```